[1]
Sc2Zn2Co after structural relaxation, computed with PBE-GGA.

Calculated values
Energy of formation: 0.142 eV/atom
Relative energy among the computed polymorphs: 263.6 meV/atom

a = 6.6673 Å, b = 6.6673 Å, c = 4.2709 Å
α = 90.00°, β = 90.00°, γ = 90.00°
Last column: magnetic moment on the atom in μB.
Atoms (fractional coordinates):
Sc (0.3350, 0.8350, 0.0000)  -0.01
Sc (0.8350, 0.6650, 0.0000)  -0.01
Sc (0.6650, 0.1650, 0.0000)  -0.01
Sc (0.1650, 0.3350, 0.0000)  -0.01
Zn (0.1399, 0.6399, 0.5000)  0.02
Zn (0.6399, 0.8601, 0.5000)  0.02
Zn (0.8601, 0.3601, 0.5000)  0.02
Zn (0.3601, 0.1399, 0.5000)  0.02
Co (0.0000, 0.0000, 0.0000)  0.57
Co (0.5000, 0.5000, 0.0000)  0.57

[2]
La2OsO after structural relaxation, computed with PBE-GGA.

Calculated values
Formation energy without anion corrections: -1.0853 eV/atom

a = 5.9194 Å, b = 5.9194 Å, c = 7.2928 Å
α = 66.06°, β = 66.06°, γ = 90.00°
Atoms (fractional coordinates):
Os (0.0000, 0.0000, 0.0000)
Os (0.7500, 0.2500, 0.5000)
O (0.5000, 0.5000, 0.0000)
O (0.2500, 0.7500, 0.5000)
La (0.5844, 0.1250, 0.2500)
La (0.1656, 0.6250, 0.2500)
La (0.3750, 0.4156, 0.7500)
La (0.8750, 0.8344, 0.7500)

Total magnetic moment readings, ordered: 1.4; 0.0 Bohr magnetons per cell